Entry 1:
The following is a PBE-GGA calculation of a relaxed structure of TaBeBr2, from Alexandria via LeMat-Bulk.

a = 3.121 Å, b = 4.385 Å, c = 5.575 Å
α = 90.00°, β = 90.00°, γ = 90.00°
Fractional coordinates of all 4 atoms:
1 Ta 0.000 0.000 0.000
2 Be 0.500 0.000 0.500
3 Br 0.000 0.500 0.500
4 Br 0.500 0.500 0.000

Values from the calculation:
* N(E_F): 2.46 states/eV/f.u.

***

Entry 2:
The following is a PBE-GGA calculation of a relaxed structure of Ta2BeBr, from Alexandria via LeMat-Bulk.

a = 7.327 Å, b = 7.327 Å, c = 7.327 Å
α = 139.16°, β = 139.16°, γ = 59.14°
Fractional coordinates of all 8 atoms:
1 Ta 0.045 0.625 0.920
2 Ta 0.375 0.295 0.420
3 Ta 0.705 0.125 0.080
4 Ta 0.875 0.955 0.580
5 Be 0.000 0.000 0.000
6 Be 0.750 0.250 0.500
7 Br 0.250 0.750 0.500
8 Br 0.500 0.500 0.000

Values from the calculation:
* N(E_F): 1.95 states/eV/f.u.

***

| no. | ΔE to the lowest computed polymorph (eV per atom) | calculated total energy (eV per atom) | M_tot (Bohr magnetons per cell) |
| --- | --- | --- | --- |
| 1 | 0.904 | -3.941 | 0.0 |
| 2 | 0.981 | -6.086 | 0.0 |